Material: Cd2Ag3Sn
Method: DFT, PBE-GGA
State: relaxed

Values from the calculation:
energy relative to the lowest polymorph listed for this composition = 0.0 meV per atom
M_tot = 0.00 μB/f.u.
density of states at the Fermi level = 1.69 states/eV/f.u.
calculated total energy = -2.386 eV per atom
ΔH_f (0 K) = 0.01 eV/atom

```
data_Cd2Ag3Sn
_symmetry_space_group_name_H-M 'C m m m'
_symmetry_Int_Tables_number 65
_symmetry_space_group_name_Hall '-C 2 2'
_cell_length_a 5.113
_cell_length_b 15.402
_cell_length_c 3.128
_cell_angle_alpha 90.00
_cell_angle_beta 90.00
_cell_angle_gamma 90.00
loop_
_atom_site_label
_atom_site_fract_x
_atom_site_fract_y
_atom_site_fract_z
Cd1 0.000 0.165 0.000
Ag1 0.000 0.000 0.500
Ag2 0.000 0.326 0.500
Sn1 0.000 0.500 0.000
```


Material: CdAg6Sn
Method: DFT, PBE-GGA
State: relaxed

Values from the calculation:
M_tot = 0.00 μB/f.u.
density of states at the Fermi level = 3.68 states/eV/f.u.
calculated total energy = -2.750 eV per atom
ΔH_f (0 K) = 0.00 eV/atom

```
data_CdAg6Sn
_symmetry_space_group_name_H-M 'A m m 2'
_symmetry_Int_Tables_number 38
_cell_length_a 4.806
_cell_length_b 6.305
_cell_length_c 10.029
_cell_angle_alpha 90.00
_cell_angle_beta 90.00
_cell_angle_gamma 90.00
loop_
_symmetry_equiv_pos_as_xyz
'x,y,z'
'-x,-y,z'
'-x,y,z'
'x,-y,z'
'x,y+1/2,z+1/2'
'-x,-y+1/2,z+1/2'
'-x,y+1/2,z+1/2'
'x,-y+1/2,z+1/2'
loop_
_atom_site_label
_atom_site_fract_x
_atom_site_fract_y
_atom_site_fract_z
Cd1 0.000 0.000 0.000
Ag1 0.000 0.000 0.505
Ag2 0.000 0.245 0.750
Ag3 0.500 0.000 0.819
Ag4 0.500 0.250 0.071
Sn1 0.500 0.000 0.322
```


Material: Cd6Ag2Sn
Method: DFT, PBE-GGA
State: relaxed

Values from the calculation:
energy relative to the lowest polymorph listed for this composition = 0.0 meV per atom
M_tot = 0.00 μB/f.u.
density of states at the Fermi level = 2.56 states/eV/f.u.
calculated total energy = -1.671 eV per atom
ΔH_f (0 K) = 0.02 eV/atom

```
data_Cd6Ag2Sn
_symmetry_space_group_name_H-M 'C 1 2/m 1'
_symmetry_Int_Tables_number 12
_cell_length_a 13.627
_cell_length_b 4.330
_cell_length_c 6.844
_cell_angle_alpha 90.00
_cell_angle_beta 103.00
_cell_angle_gamma 90.00
loop_
_symmetry_equiv_pos_as_xyz
'x,y,z'
'-x,-y,-z'
'-x,y,-z'
'x,-y,z'
'x+1/2,y+1/2,z'
'-x+1/2,-y+1/2,-z'
'-x+1/2,y+1/2,-z'
'x+1/2,-y+1/2,z'
loop_
_atom_site_label
_atom_site_fract_x
_atom_site_fract_y
_atom_site_fract_z
Cd1 0.102 0.000 0.150
Cd2 0.170 0.500 0.508
Cd3 0.227 0.000 0.837
Ag1 0.062 0.500 0.842
Sn1 0.000 0.000 0.500
```


Material: Cd2AgSn2
Method: DFT, PBE-GGA
State: relaxed

Values from the calculation:
energy relative to the lowest polymorph listed for this composition = 0.0 meV per atom
M_tot = 0.00 μB/f.u.
density of states at the Fermi level = 1.79 states/eV/f.u.
calculated total energy = -2.472 eV per atom
ΔH_f (0 K) = 0.07 eV/atom

```
data_Cd2AgSn2
_symmetry_space_group_name_H-M 'C 1 2/m 1'
_symmetry_Int_Tables_number 12
_cell_length_a 5.728
_cell_length_b 10.255
_cell_length_c 8.552
_cell_angle_alpha 90.00
_cell_angle_beta 104.37
_cell_angle_gamma 90.00
loop_
_symmetry_equiv_pos_as_xyz
'x,y,z'
'-x,-y,-z'
'-x,y,-z'
'x,-y,z'
'x+1/2,y+1/2,z'
'-x+1/2,-y+1/2,-z'
'-x+1/2,y+1/2,-z'
'x+1/2,-y+1/2,z'
loop_
_atom_site_label
_atom_site_fract_x
_atom_site_fract_y
_atom_site_fract_z
Cd1 0.076 0.000 0.336
Cd2 0.243 0.500 0.975
Ag1 0.000 0.251 0.000
Sn1 0.084 0.338 0.334
```


Which formula does entry 4 have?
Cd2AgSn2


Which formula does entry 3 have?
Cd6Ag2Sn